1.
An optimized crystal structure of NaGaCo2F8. Source: Alexandria via LeMat-Bulk, functional GGA+U.

Lattice parameters (Å, degrees): 4.783 6.455 4.819 90.00 90.65 90.00
Space group P2/m (No. 10)
Inequivalent atoms, fractional coordinates:
Na  0.000  0.000  0.000 (multiplicity 1)
Ga  0.000  0.500  0.000 (multiplicity 1)
Co  0.500  0.249  0.500 (multiplicity 2)
F  0.196  0.286  0.194 (multiplicity 4)
F  0.292  0.500  0.706 (multiplicity 2)
F  0.321  0.000  0.683 (multiplicity 2)

Properties
Raw total energy (Ha/atom): -0.17870

2.
An optimized crystal structure of BaVZnO4. Source: Alexandria via LeMat-Bulk, functional GGA+U.

Lattice parameters (Å, degrees): 5.201 5.795 7.600 90.00 101.88 90.00
Space group P2_1/m (No. 11)
Inequivalent atoms, fractional coordinates:
Ba  0.214  0.250  0.117 (multiplicity 2)
V  0.445  0.250  0.715 (multiplicity 2)
Zn  0.186  0.750  0.574 (multiplicity 2)
O  0.233  0.750  0.166 (multiplicity 2)
O  0.303  0.001  0.789 (multiplicity 4)
O  0.445  0.250  0.485 (multiplicity 2)

Properties
Raw total energy (Ha/atom): -0.22998

> Which value of raw total energy does entry 1 give?

-0.17870 Ha/atom

> raw total energy of number 1 (NaGaCo2F8)?

-0.17870 Ha/atom

> The highest raw total energy belongs to which entry?

NaGaCo2F8

> Which of these has the highest raw total energy?

NaGaCo2F8